Density functional theory data (GGA+U) for an optimized crystal structure of TaVCd2O6.

```
TaVCd2O6
1.0
5.4618 0.0000 -0.0264
0.0000 5.5982 0.0000
0.0090 0.0000 7.8147
Ta V Cd O
2 2 4 12
Direct
0.5000 0.0000 0.5000 Ta
0.0000 0.5000 0.0000 Ta
0.5000 0.0000 0.0000 V
0.0000 0.5000 0.5000 V
0.0119 0.9576 0.2488 Cd
0.5119 0.5424 0.7488 Cd
0.9881 0.0424 0.7512 Cd
0.4881 0.4576 0.2512 Cd
0.2961 0.7025 0.0510 O
0.7961 0.7975 0.5510 O
0.7039 0.2975 0.9490 O
0.2039 0.2025 0.4490 O
0.3053 0.7086 0.4444 O
0.8053 0.7914 0.9444 O
0.6947 0.2914 0.5556 O
0.1947 0.2086 0.0556 O
0.8984 0.5328 0.2483 O
0.3984 0.9672 0.7483 O
0.1016 0.4672 0.7517 O
0.6016 0.0328 0.2517 O
```

Output
Symmetry: P2_1/c
Uncorrected energy: -0.517 Ry/atom
ρ: 7.68 g cm⁻³